# 1
MgZrScN3 PBE-GGA relaxed; density = 4.9 Mg/m³; space group = P2_1/m, No. 11; electronic total energy = -8.23 eV per atom; total magnetic moment = 0.00 μB/f.u.; Fermi-level density of states = 0.0650 states/eV/atom
1.0
3.125 0.000 0.000
0.000 5.463 0.299
0.000 -2.060 7.916
Mg Zr Sc N
2 2 2 6
Cartesian
0.781 -0.550 5.042 Mg
2.343 3.953 3.172 Mg
2.343 2.136 5.657 Zr
0.781 1.266 2.557 Zr
0.781 4.075 0.662 Sc
2.343 -0.673 7.552 Sc
0.781 2.972 4.171 N
2.343 -0.041 1.327 N
2.343 2.627 1.489 N
2.343 0.430 4.043 N
0.781 0.775 6.725 N
0.781 3.444 6.887 N

# 2
Cs3RbMo2S8 PBE-GGA relaxed; density = 2.9 Mg/m³; space group = P-3m1, No. 164; electronic total energy = -5.11 eV per atom; total magnetic moment = 0.00 μB/f.u.; Fermi-level density of states = 0.0000 states/eV/atom
1.0
7.533 0.000 0.000
-3.767 6.524 0.000
0.000 0.000 10.846
Cs Rb Mo S
3 1 2 8
Cartesian
0.000 4.349 7.504 Cs
3.767 2.175 3.342 Cs
0.000 0.000 0.000 Cs
0.000 0.000 5.423 Rb
0.000 4.349 2.336 Mo
3.767 2.175 8.510 Mo
0.000 4.349 0.159 S
3.767 2.175 10.687 S
-1.805 5.391 3.069 S
5.571 1.133 7.777 S
0.000 2.265 3.069 S
3.767 4.258 7.777 S
1.805 5.391 3.069 S
1.962 1.133 7.777 S